# TbPrPd4 (GGA-PBE, optimized geometry)
data_TbPrPd4
_chemical_formula_sum 'Tb1 Pr1 Pd4'
_cell_length_a 3.9578
_cell_length_b 3.9578
_cell_length_c 8.7364
_cell_angle_alpha 90.00
_cell_angle_beta 90.00
_cell_angle_gamma 90.00
_symmetry_space_group_name_H-M 'P 4/m m m'
_symmetry_Int_Tables_number 123
_symmetry_space_group_name_Hall '-P 4 2'
loop_
_atom_site_label
_atom_site_type_symbol
_atom_site_fract_x
_atom_site_fract_y
_atom_site_fract_z
Tb1 Tb 0.0000 0.0000 0.0000
Pr1 Pr 0.5000 0.5000 0.5000
Pd1 Pd 0.0000 0.5000 0.2426
# Energy of formation in eV per atom: -0.55
# Relative energy among the computed polymorphs in eV per formula unit: 1.70
# Crystal system: tetragonal

# SiPt2Au (GGA-PBE, optimized geometry)
data_SiPt2Au
_chemical_formula_sum 'Si2 Pt4 Au2'
_cell_length_a 3.8615
_cell_length_b 3.8615
_cell_length_c 8.4561
_cell_angle_alpha 90.00
_cell_angle_beta 90.00
_cell_angle_gamma 90.00
_symmetry_space_group_name_H-M 'I -4 m 2'
_symmetry_Int_Tables_number 119
_symmetry_space_group_name_Hall 'I -4 -2'
loop_
_atom_site_label
_atom_site_type_symbol
_atom_site_fract_x
_atom_site_fract_y
_atom_site_fract_z
Si1 Si 0.0000 0.0000 0.0000
Pt1 Pt 0.0000 0.0000 0.5000
Pt2 Pt 0.0000 0.5000 0.2500
Au1 Au 0.0000 0.5000 0.7500
# VASP energy in eV/atom: -5.235
# Crystal system: tetragonal

# La12Sm7Er (GGA-PBE, optimized geometry)
data_La12Sm7Er
_chemical_formula_sum 'La36 Sm21 Er3'
_cell_length_a 12.5790
_cell_length_b 12.5790
_cell_length_c 15.5748
_cell_angle_alpha 90.00
_cell_angle_beta 90.00
_cell_angle_gamma 120.00
_symmetry_space_group_name_H-M 'R -3'
_symmetry_Int_Tables_number 148
_symmetry_space_group_name_Hall '-R 3'
loop_
_atom_site_label
_atom_site_type_symbol
_atom_site_fract_x
_atom_site_fract_y
_atom_site_fract_z
La1 La 0.0180 0.5765 0.2220
La2 La 0.0657 0.4714 0.5777
Sm1 Sm 0.0000 0.0000 0.0000
Sm2 Sm 0.0554 0.8705 0.3051
Er1 Er 0.0000 0.0000 0.5000
# Energy of formation in eV per atom: 0.19
# Relative energy among the computed polymorphs in eV per formula unit: 0.20
# Crystal system: trigonal

# Ac6Zn5Si (GGA-PBE, optimized geometry)
data_Ac6Zn5Si
_chemical_formula_sum 'Ac12 Zn10 Si2'
_cell_length_a 9.5209
_cell_length_b 16.5677
_cell_length_c 5.5199
_cell_angle_alpha 90.00
_cell_angle_beta 125.37
_cell_angle_gamma 90.00
_symmetry_space_group_name_H-M 'C 1 2/m 1'
_symmetry_Int_Tables_number 12
loop_
_symmetry_equiv_pos_as_xyz
'x,y,z'
'-x,-y,-z'
'-x,y,-z'
'x,-y,z'
'x+1/2,y+1/2,z'
'-x+1/2,-y+1/2,-z'
'-x+1/2,y+1/2,-z'
'x+1/2,-y+1/2,z'
loop_
_atom_site_label
_atom_site_type_symbol
_atom_site_fract_x
_atom_site_fract_y
_atom_site_fract_z
Ac1 Ac 0.2411 0.0000 0.2407
Ac2 Ac 0.2451 0.1635 0.7447
Zn1 Zn 0.0000 0.1748 0.0000
Zn2 Zn 0.0000 0.3331 0.5000
Zn3 Zn 0.0000 0.5000 0.0000
Si1 Si 0.0000 0.0000 0.5000
# VASP energy in eV/atom: -3.313
# Crystal system: monoclinic

# Tl3HgPb4 (GGA-PBE, optimized geometry)
data_Tl3HgPb4
_chemical_formula_sum 'Tl6 Hg2 Pb8'
_cell_length_a 7.0604
_cell_length_b 7.0782
_cell_length_c 9.7316
_cell_angle_alpha 90.00
_cell_angle_beta 90.00
_cell_angle_gamma 90.00
_symmetry_space_group_name_H-M 'P m n 21'
_symmetry_Int_Tables_number 31
loop_
_symmetry_equiv_pos_as_xyz
'x,y,z'
'-x+1/2,-y,z+1/2'
'-x,y,z'
'x+1/2,-y,z+1/2'
loop_
_atom_site_label
_atom_site_type_symbol
_atom_site_fract_x
_atom_site_fract_y
_atom_site_fract_z
Tl1 Tl 0.0000 0.0013 0.0000
Tl2 Tl 0.2500 0.2516 0.7495
Hg1 Hg 0.0000 0.4999 0.0002
Pb1 Pb 0.0000 0.9996 0.5000
Pb2 Pb 0.0000 0.5007 0.5000
Pb3 Pb 0.2502 0.2568 0.2505
# Energy of formation in eV per atom: 0.00
# Relative energy among the computed polymorphs in eV per formula unit: 0.00
# Crystal system: orthorhombic

# Sr3Ac2Cd3 (GGA-PBE, optimized geometry)
data_Sr3Ac2Cd3
_chemical_formula_sum 'Sr6 Ac4 Cd6'
_cell_length_a 4.0529
_cell_length_b 5.9887
_cell_length_c 24.6598
_cell_angle_alpha 90.00
_cell_angle_beta 90.00
_cell_angle_gamma 90.00
_symmetry_space_group_name_H-M 'I m m m'
_symmetry_Int_Tables_number 71
_symmetry_space_group_name_Hall '-I 2 2'
loop_
_atom_site_label
_atom_site_type_symbol
_atom_site_fract_x
_atom_site_fract_y
_atom_site_fract_z
Sr1 Sr 0.0000 0.0000 0.0000
Sr2 Sr 0.0000 0.5000 0.1168
Ac1 Ac 0.0000 0.0000 0.2287
Cd1 Cd 0.0000 0.0000 0.5000
Cd2 Cd 0.0000 0.5000 0.3835
# Energy of formation in eV per atom: -0.21
# Crystal system: orthorhombic

# Ga3ClF (GGA-PBE, optimized geometry)
data_Ga3ClF
_chemical_formula_sum 'Ga3 Cl1 F1'
_cell_length_a 5.4915
_cell_length_b 5.4915
_cell_length_c 5.4915
_cell_angle_alpha 90.00
_cell_angle_beta 90.00
_cell_angle_gamma 90.00
_symmetry_space_group_name_H-M 'P m -3 m'
_symmetry_Int_Tables_number 221
_symmetry_space_group_name_Hall '-P 4 2 3'
loop_
_atom_site_label
_atom_site_type_symbol
_atom_site_fract_x
_atom_site_fract_y
_atom_site_fract_z
Ga1 Ga 0.0000 0.0000 0.5000
Cl1 Cl 0.0000 0.0000 0.0000
F1 F 0.5000 0.5000 0.5000
# Relative energy among the computed polymorphs in eV per formula unit: 2.19
# Crystal system: cubic

# Hf2Cu2Ge (GGA-PBE, optimized geometry)
data_Hf2Cu2Ge
_chemical_formula_sum 'Hf4 Cu4 Ge2'
_cell_length_a 7.3125
_cell_length_b 7.3125
_cell_length_c 3.3970
_cell_angle_alpha 90.00
_cell_angle_beta 90.00
_cell_angle_gamma 90.00
_symmetry_space_group_name_H-M 'P 4/m b m'
_symmetry_Int_Tables_number 127
_symmetry_space_group_name_Hall '-P 4 2ab'
loop_
_atom_site_label
_atom_site_type_symbol
_atom_site_fract_x
_atom_site_fract_y
_atom_site_fract_z
Hf1 Hf 0.1688 0.3312 0.0000
Cu1 Cu 0.1239 0.6239 0.5000
Ge1 Ge 0.0000 0.0000 0.0000
# Energy of formation in eV per atom: 0.02
# Relative energy among the computed polymorphs in eV per formula unit: 1.60
# Crystal system: tetragonal

| no. | spin magnetization (μB/atom) | D(E_F) (states/eV per cell) | theoretical density (g/cm3) |
| --- | --- | --- | --- |
| 1 | 0.000 | 3.16 | 8.80 |
| 2 | 0.000 | 4.79 | 16.20 |
| 3 | 0.000 | 115.10 | 6.74 |
| 4 | 0.000 | 21.36 | 8.03 |
| 5 | 0.000 | 5.03 | 11.22 |
| 6 | 0.000 | 18.68 | 5.85 |
| 7 | 0.000 | 2.08 | 2.64 |
| 8 | 0.000 | 8.93 | 10.18 |